DFT (PBE with a Hubbard U) results for a geometry-optimized Sc2BiWO8 structure.

Output
Raw total energy, eV per atom: -7.668
Size of the total moment, μB/cell: 0.00
Space group: No. 65
N(E_F), states/eV/cell: 0.87

Cell: 4.859 4.862 6.619 Å, 90.00 90.00 91.49°
Fractional positions:
Sc 0.500 0.500 0.758
Sc 0.500 0.500 0.242
Bi 0.000 0.000 0.500
W 0.000 0.000 0.000
O 0.192 0.808 0.216
O 0.711 0.710 0.000
O 0.808 0.192 0.216
O 0.808 0.192 0.784
O 0.289 0.290 0.000
O 0.192 0.808 0.784
O 0.679 0.679 0.500
O 0.321 0.321 0.500